(1)
Below is a geometry-optimized Ac3AgAs structure, with properties calculated at the PBE level.

abc: 5.965 5.965 5.965
angles: 90.00 90.00 90.00
Atoms (fractional coordinates):
Ac 0.000 0.000 0.500
Ac 0.000 0.500 0.000
Ac 0.500 0.000 0.000
Ag 0.500 0.500 0.500
As 0.000 0.000 0.000

Output
Energy relative to the elements = -1.00 eV per formula unit
Magnetization = 0.00 μB per formula unit


(2)
Below is a geometry-optimized PrNbGa structure, with properties calculated at the PBE level.

abc: 13.477 3.149 3.149
angles: 90.47 90.00 90.00
Atoms (fractional coordinates):
Pr 0.175 0.000 0.000
Pr 0.825 0.000 0.000
Nb 0.370 0.501 0.501
Nb 0.630 0.501 0.501
Ga 0.000 0.500 0.500
Ga 0.500 0.001 0.001

Output
Energy relative to the elements = 0.14 eV per formula unit
Magnetization = 0.00 μB per formula unit


(3)
Below is a geometry-optimized SiRuSe2O structure, with properties calculated at the PBE level.

abc: 4.714 4.714 3.517
angles: 90.00 90.00 90.00
Atoms (fractional coordinates):
Si 0.000 0.000 0.000
Ru 0.500 0.500 0.000
Se 0.000 0.500 0.500
Se 0.500 0.000 0.500
O 0.000 0.000 0.500

Output
Magnetization = 0.00 μB per formula unit
Formation energy without anion corrections = 0.57 eV/atom


no.,N(E_F) (states/eV/atom)
1,1.72
2,1.23
3,0.89